<P>
This record from the Alexandria database describes Tl3CrSe3 after structural relaxation. The functional is GGA-PBE.

a b c (Å): 7.2653 7.2653 8.7407
angles (deg): 98.83 98.83 109.15
With the nearest neighbours (Å) after each atom.
Sites, in units of the cell vectors:
Cr 0.1431 0.1431 0.1458  4 Se 2.39-2.41
Se 0.1347 0.4476 0.2873  1 Cr 2.39
Tl 0.3918 0.3918 0.6352  5 Se 3.17-3.47, 1 Tl 3.35
Tl 0.2790 0.7210 0.0000  4 Se 3.34-3.51, 2 Cr 3.63
Tl 0.8408 0.1592 0.5000  4 Se 3.09-3.45
Tl 0.1592 0.8408 0.5000  4 Se 3.09-3.45
Se 0.8653 0.5524 0.7127  1 Cr 2.39
Se 0.5524 0.8653 0.7127  1 Cr 2.39
Tl 0.6082 0.6082 0.3648  5 Se 3.17-3.47, 1 Tl 3.35
Se 0.8532 0.8532 0.1280  2 Cr 2.40-2.41
Se 0.4476 0.1347 0.2873  1 Cr 2.39
Cr 0.8569 0.8569 0.8542  4 Se 2.39-2.41
Tl 0.7210 0.2790 0.0000  4 Se 3.34-3.51, 2 Cr 3.63
Se 0.1468 0.1468 0.8720  2 Cr 2.40-2.41

The value obtained for the theoretical density is 7.128 g/cm³. The value obtained for the density of states at the Fermi level is 1.5 states/eV/f.u.

---

<Q>
This record from the Alexandria database describes Tl3CrSe3 after structural relaxation. The functional is GGA-PBE.

a b c (Å): 3.9531 8.5249 11.5806
angles (deg): 90.32 90.00 90.00
With the nearest neighbours (Å) after each atom.
Sites, in units of the cell vectors:
Tl 0.7500 0.1565 0.1187  4 Se 3.00-3.28
Se 0.2500 0.8989 0.1607  1 Cr 2.61
Tl 0.7500 0.6369 0.1279  3 Se 3.01-3.06
Tl 0.7500 0.6136 0.6455  5 Se 3.03-3.29
Tl 0.2500 0.3631 0.8721  3 Se 3.01-3.06
Se 0.7500 0.1011 0.8393  1 Cr 2.61
Tl 0.2500 0.3864 0.3545  5 Se 3.03-3.29
Cr 0.2500 0.8882 0.3863  6 Se 2.53-2.63
Se 0.7500 0.6854 0.3897  2 Cr 2.63
Se 0.2500 0.9165 0.6036  3 Cr 2.53-2.59
Se 0.2500 0.3146 0.6103  2 Cr 2.63
Cr 0.7500 0.1118 0.6137  6 Se 2.53-2.63
Tl 0.2500 0.8435 0.8813  4 Se 3.00-3.28
Se 0.7500 0.0835 0.3964  3 Cr 2.53-2.59

The value obtained for the theoretical density is 7.676 g/cm³. The value obtained for the density of states at the Fermi level is 0.2 states/eV/f.u.

---

The data favor <Q>; the next most stable structure lies 0.064 eV/atom above it.

---

<P>
This record from the Alexandria database describes TlCrSe after structural relaxation. The functional is GGA-PBE.

a b c (Å): 3.6004 3.6004 12.9068
angles (deg): 81.98 81.98 60.00
With the nearest neighbours (Å) after each atom.
Sites, in units of the cell vectors:
Cr 0.6522 0.6522 0.0434  3 Cr 2.35, 4 Se 2.43-2.46
Tl 0.1281 0.1281 0.6158  9 Tl 3.60-3.61, 3 Se 3.66
Tl 0.8719 0.8719 0.3842  9 Tl 3.60-3.61, 3 Se 3.66
Cr 0.3478 0.3478 0.9566  3 Cr 2.35, 4 Se 2.43-2.46
Se 0.7158 0.7158 0.8527  4 Cr 2.43-2.46
Se 0.2842 0.2842 0.1473  4 Cr 2.43-2.46

The value obtained for the theoretical density is 7.788 g/cm³. The value obtained for the density of states at the Fermi level is 2.6 states/eV/f.u.

---

<Q>
This record from the Alexandria database describes TlCrSe after structural relaxation. The functional is GGA-PBE.

a b c (Å): 6.7911 6.7912 3.4521
angles (deg): 75.27 75.27 29.45
With the nearest neighbours (Å) after each atom.
Sites, in units of the cell vectors:
Tl 0.6474 0.6475 0.3526  1 Se 3.19, 4 Cr 3.44, 4 Tl 3.45
Se 0.3960 0.3960 0.6040  4 Cr 2.56
Cr 0.9565 0.9565 0.0435  4 Se 2.56

The value obtained for the theoretical density is 7.374 g/cm³. The value obtained for the density of states at the Fermi level is 0.8 states/eV/f.u.

---

The data favor <P>; the next most stable structure lies 0.046 eV/atom above it.

---

<P>
This record from the Alexandria database describes TlCrSe after structural relaxation. The functional is GGA-PBE.

a b c (Å): 3.5216 3.5216 11.6179
angles (deg): 90.00 90.00 90.00
With the nearest neighbours (Å) after each atom.
Sites, in units of the cell vectors:
Se 0.0000 0.5000 0.3555  4 Cr 2.43
Tl 0.0000 0.5000 0.8965  8 Tl 3.46-3.52, 4 Se 3.84
Cr 0.0000 0.0000 0.5000  4 Se 2.43, 4 Cr 2.49
Se 0.5000 0.0000 0.6445  4 Cr 2.43
Cr 0.5000 0.5000 0.5000  4 Se 2.43, 4 Cr 2.49
Tl 0.5000 0.0000 0.1035  8 Tl 3.46-3.52, 4 Se 3.84

The value obtained for the theoretical density is 7.730 g/cm³. The value obtained for the density of states at the Fermi level is 2.2 states/eV/f.u.

---

<Q>
This record from the Alexandria database describes TlCrSe after structural relaxation. The functional is GGA-PBE.

a b c (Å): 4.3074 4.3074 5.0092
angles (deg): 90.00 90.00 120.00
With the nearest neighbours (Å) after each atom.
Sites, in units of the cell vectors:
Tl 0.6667 0.3333 0.6666  6 Se 3.53, 6 Cr 3.53
Cr 0.0000 0.0000 0.1663  3 Se 2.49
Se 0.3333 0.6667 0.1670  3 Cr 2.49

The value obtained for the theoretical density is 6.919 g/cm³. The value obtained for the density of states at the Fermi level is 1.4 states/eV/f.u.

---

The data favor <P>; the next most stable structure lies 0.139 eV/atom above it.

---

<P>
This record from the Alexandria database describes TlCrSe after structural relaxation. The functional is GGA-PBE.

a b c (Å): 3.7919 3.7919 5.9791
angles (deg): 90.00 90.00 120.00
With the nearest neighbours (Å) after each atom.
Sites, in units of the cell vectors:
Tl 0.6667 0.3333 0.6960  3 Cr 3.07
Se 0.3333 0.6667 0.2470  3 Cr 2.47
Cr 0.0000 0.0000 0.0570  3 Se 2.47

The value obtained for the theoretical density is 7.479 g/cm³. The value obtained for the density of states at the Fermi level is 1.8 states/eV/f.u.

---

<Q>
This record from the Alexandria database describes TlCrSe after structural relaxation. The functional is GGA-PBE.

a b c (Å): 4.7486 4.7486 4.7486
angles (deg): 60.00 60.00 60.00
With the nearest neighbours (Å) after each atom.
Sites, in units of the cell vectors:
Se 0.0000 0.0000 0.0000  4 Cr 2.91
Tl 0.5000 0.5000 0.5000  4 Cr 2.91
Cr 0.2500 0.2500 0.2500  4 Tl 2.91, 4 Se 2.91

The value obtained for the theoretical density is 7.354 g/cm³. The value obtained for the density of states at the Fermi level is 0.9 states/eV/f.u.

---

The data favor <P>; the next most stable structure lies 0.131 eV/atom above it.

---

<P>
This record from the Alexandria database describes UCrSe3 after structural relaxation. The functional is GGA-PBE.

a b c (Å): 6.4100 7.4104 9.3436
angles (deg): 90.00 90.00 90.00
With the nearest neighbours (Å) after each atom.
Sites, in units of the cell vectors:
Se 0.3394 0.1761 0.4419  2 Cr 2.59-2.67
Cr 0.0000 0.0000 0.5000  6 Se 2.55-2.67
Se 0.3394 0.1761 0.0581  2 Cr 2.59-2.67
Se 0.1523 0.9582 0.7500  2 Cr 2.55, 1 U 2.83
Se 0.6606 0.8239 0.5581  2 Cr 2.59-2.67
Cr 0.0000 0.0000 0.0000  6 Se 2.55-2.67
Se 0.1606 0.6761 0.4419  2 Cr 2.59-2.67
Se 0.6606 0.8239 0.9419  2 Cr 2.59-2.67
Se 0.6523 0.5418 0.2500  2 Cr 2.55, 1 U 2.83
U 0.4381 0.8750 0.2500  6 Se 2.83-2.93
Se 0.8477 0.0418 0.2500  2 Cr 2.55, 1 U 2.83
U 0.0619 0.3750 0.2500  6 Se 2.83-2.93
U 0.5619 0.1250 0.7500  6 Se 2.83-2.93
Se 0.3477 0.4582 0.7500  2 Cr 2.55, 1 U 2.83
Se 0.1606 0.6761 0.0581  2 Cr 2.59-2.67
Se 0.8394 0.3239 0.9419  2 Cr 2.59-2.67
Se 0.8394 0.3239 0.5581  2 Cr 2.59-2.67
U 0.9381 0.6250 0.7500  6 Se 2.83-2.93
Cr 0.5000 0.5000 0.0000  6 Se 2.55-2.67
Cr 0.5000 0.5000 0.5000  6 Se 2.55-2.67

The value obtained for the theoretical density is 7.886 g/cm³. The value obtained for the density of states at the Fermi level is 6.7 states/eV/f.u.

---

<Q>
This record from the Alexandria database describes UCrSe3 after structural relaxation. The functional is GGA-PBE.

a b c (Å): 3.8397 7.2479 8.1146
angles (deg): 94.12 90.00 90.00
With the nearest neighbours (Å) after each atom.
Sites, in units of the cell vectors:
Cr 0.7500 0.1461 0.6626  6 Se 2.54-2.61
Se 0.2500 0.9016 0.6599  3 Cr 2.61
Se 0.2500 0.7201 0.0399  1 Cr 2.54
Cr 0.2500 0.8539 0.3375  6 Se 2.54-2.61
U 0.2500 0.3759 0.2161  8 Se 2.88-3.18
Se 0.2500 0.3751 0.6076  2 Cr 2.60
Se 0.7500 0.0984 0.3401  3 Cr 2.61
Se 0.7500 0.2799 0.9601  1 Cr 2.54
U 0.7500 0.6241 0.7839  8 Se 2.88-3.18
Se 0.7500 0.6249 0.3924  2 Cr 2.60

The value obtained for the theoretical density is 7.769 g/cm³. The value obtained for the density of states at the Fermi level is 6.5 states/eV/f.u.

---

The data favor <P>; the next most stable structure lies 0.022 eV/atom above it.

---

<P>
This record from the Alexandria database describes V3CrSe after structural relaxation. The functional is GGA-PBE.

a b c (Å): 4.3672 4.3672 4.3672
angles (deg): 90.00 90.00 90.00
With the nearest neighbours (Å) after each atom.
Sites, in units of the cell vectors:
Se 0.5000 0.5000 0.5000  12 V 3.09
V 0.0000 0.5000 0.0000  2 Cr 2.18
V 0.0000 0.0000 0.5000  2 Cr 2.18
Cr 0.0000 0.0000 0.0000  6 V 2.18
V 0.5000 0.0000 0.0000  2 Cr 2.18

The value obtained for the theoretical density is 5.658 g/cm³. The value obtained for the density of states at the Fermi level is 5.1 states/eV/f.u.

---

<Q>
This record from the Alexandria database describes V3CrSe after structural relaxation. The functional is GGA-PBE.

a b c (Å): 4.4997 4.4997 4.4997
angles (deg): 90.00 90.00 90.00
With the nearest neighbours (Å) after each atom.
Sites, in units of the cell vectors:
V 0.0000 0.0000 0.5000  2 Se 2.25
Cr 0.5000 0.5000 0.5000  12 V 3.18
Se 0.0000 0.0000 0.0000  6 V 2.25
V 0.0000 0.5000 0.0000  2 Se 2.25
V 0.5000 0.0000 0.0000  2 Se 2.25

The value obtained for the theoretical density is 5.172 g/cm³. The value obtained for the density of states at the Fermi level is 3.2 states/eV/f.u.

---

The data favor <Q>; the next most stable structure lies 0.108 eV/atom above it.